Density functional theory data (PBE) for a geometry-optimized La3Sm3Er structure.

Structure (CIF):
```
data_La3Sm3Er
_cell_length_a 9.8207
_cell_length_b 9.8207
_cell_length_c 5.8861
_cell_angle_alpha 90.00
_cell_angle_beta 90.00
_cell_angle_gamma 120.00
_symmetry_space_group_name_H-M 'P 63/m'
_symmetry_Int_Tables_number 176
_symmetry_space_group_name_Hall '-P 6c'
loop_
_atom_site_label
_atom_site_type_symbol
_atom_site_fract_x
_atom_site_fract_y
_atom_site_fract_z
La1 La 0.0485 0.8043 0.2500
Sm1 Sm 0.0955 0.6140 0.7500
Er1 Er 0.3333 0.6667 0.2500
```

ΔH_f (0 K) in eV/atom: 0.032
Calculated density in g cm⁻³: 6.99
Electronic total energy in eV/cell: -66.56
Energy above the lowest structure with this stoichiometry in meV per atom: 0